--- 1 ---
## Ca2InSb (PBE-GGA)

Data for crystalline Ca2InSb at its relaxed geometry.

Computed properties:
* volume: 130.5 Å³/f.u.
* total magnetization: 0.0 μB/cell

Unit cell a=3.990 b=3.990 c=8.195 alpha=90.00 beta=90.00 gamma=90.00
Space group P4mm (No. 99)
Unique sites:
Ca 0.000 0.000 0.000 (multiplicity 1)
Ca 0.500 0.500 0.359 (multiplicity 1)
In 0.000 0.000 0.596 (multiplicity 1)
Sb 0.500 0.500 0.770 (multiplicity 1)



--- 2 ---
## Ca2InSb (PBE-GGA)

Data for crystalline Ca2InSb at its relaxed geometry.

Computed properties:
* volume: 113.7 Å³/f.u.
* total magnetization: 0.0 μB/cell

Unit cell a=4.957 b=4.957 c=9.257 alpha=90.00 beta=90.00 gamma=90.00
Space group I4/mmm (No. 139)
Unique sites:
Ca 0.000 0.500 0.250 (multiplicity 4)
In 0.000 0.000 0.000 (multiplicity 2)
Sb 0.000 0.000 0.500 (multiplicity 2)



--- 3 ---
## Ca2InSb (PBE-GGA)

Data for crystalline Ca2InSb at its relaxed geometry.

Computed properties:
* volume: 115.1 Å³/f.u.
* total magnetization: 0.0 μB/cell

Unit cell a=5.149 b=5.149 c=4.340 alpha=90.00 beta=90.00 gamma=90.00
Space group P4/mmm (No. 123)
Unique sites:
Ca 0.000 0.500 0.000 (multiplicity 2)
In 0.000 0.000 0.500 (multiplicity 1)
Sb 0.500 0.500 0.500 (multiplicity 1)



It is 3 that is most stable; the runner-up trails by 18 meV/atom.



--- 1 ---
## Ca2InSb (PBE-GGA)

Data for crystalline Ca2InSb at its relaxed geometry.

Computed properties:
* volume: 116.4 Å³/f.u.
* total magnetization: 0.0 μB/cell

Unit cell a=7.751 b=7.751 c=7.751 alpha=90.00 beta=90.00 gamma=90.00
Space group Fm-3m (No. 225)
Unique sites:
Ca 0.250 0.250 0.250 (multiplicity 8)
In 0.000 0.000 0.000 (multiplicity 4)
Sb 0.000 0.000 0.500 (multiplicity 4)



--- 2 ---
## Ca2InSb (PBE-GGA)

Data for crystalline Ca2InSb at its relaxed geometry.

Computed properties:
* volume: 118.4 Å³/f.u.
* total magnetization: 0.0 μB/cell

Unit cell a=4.565 b=4.565 c=11.366 alpha=90.00 beta=90.00 gamma=90.00
Space group I-4m2 (No. 119)
Unique sites:
Ca 0.000 0.000 0.000 (multiplicity 2)
Ca 0.000 0.500 0.250 (multiplicity 2)
In 0.000 0.500 0.750 (multiplicity 2)
Sb 0.000 0.000 0.500 (multiplicity 2)



It is 1 that is most stable; the runner-up trails by 36 meV/atom.



--- 1 ---
## Ca2InSb (PBE-GGA)

Data for crystalline Ca2InSb at its relaxed geometry.

Computed properties:
* volume: 115.6 Å³/f.u.
* total magnetization: 0.0 μB/cell

Unit cell a=3.860 b=4.163 c=7.192 alpha=90.00 beta=90.00 gamma=90.00
Space group Pmmm (No. 47)
Unique sites:
Ca 0.000 0.000 0.239 (multiplicity 2)
In 0.500 0.500 0.500 (multiplicity 1)
Sb 0.500 0.500 0.000 (multiplicity 1)



--- 2 ---
## Ca2InSb (PBE-GGA)

Data for crystalline Ca2InSb at its relaxed geometry.

Computed properties:
* volume: 125.4 Å³/f.u.
* total magnetization: 0.0 μB/cell

Unit cell a=9.834 b=4.012 c=6.557 alpha=90.00 beta=104.22 gamma=90.00
Space group C2/m (No. 12)
Unique sites:
Ca 0.242 0.000 0.243 (multiplicity 4)
In 0.000 0.000 0.500 (multiplicity 2)
Sb 0.000 0.500 0.000 (multiplicity 2)



--- 3 ---
## Ca2InSb (PBE-GGA)

Data for crystalline Ca2InSb at its relaxed geometry.

Computed properties:
* volume: 130.9 Å³/f.u.
* total magnetization: 0.0 μB/cell

Unit cell a=8.540 b=8.540 c=7.179 alpha=90.00 beta=90.00 gamma=90.00
Space group I-42d (No. 122)
Unique sites:
Ca 0.234 0.250 0.125 (multiplicity 8)
In 0.000 0.000 0.500 (multiplicity 4)
Sb 0.000 0.000 0.000 (multiplicity 4)



It is 1 that is most stable; the runner-up trails by 142 meV/atom.



--- 1 ---
## Ca2InSb (PBE-GGA)

Data for crystalline Ca2InSb at its relaxed geometry.

Computed properties:
* volume: 147.0 Å³/f.u.
* total magnetization: 0.0 μB/cell

Unit cell a=4.4220 b=4.4220 c=26.0487 alpha=90.00 beta=90.00 gamma=120.00
Space group R3m (No. 160, hexagonal axes)
Unique sites:
Ca 0.0000 0.0000 0.0000 (multiplicity 3)
Ca 0.0000 0.0000 0.2096 (multiplicity 3)
In 0.0000 0.0000 0.7481 (multiplicity 3)
Sb 0.0000 0.0000 0.4712 (multiplicity 3)



--- 2 ---
## Ca2InSb (PBE-GGA)

Data for crystalline Ca2InSb at its relaxed geometry.

Computed properties:
* volume: 125.1 Å³/f.u.
* total magnetization: 0.0 μB/cell

Unit cell a=3.8803 b=3.8803 c=28.7799 alpha=90.00 beta=90.00 gamma=120.00
Space group R-3m (No. 166, hexagonal axes)
Unique sites:
Ca 0.0000 0.0000 0.2462 (multiplicity 6)
In 0.0000 0.0000 0.0000 (multiplicity 3)
Sb 0.0000 0.0000 0.5000 (multiplicity 3)



--- 3 ---
## Ca2InSb (PBE-GGA)

Data for crystalline Ca2InSb at its relaxed geometry.

Computed properties:
* volume: 125.5 Å³/f.u.
* total magnetization: 0.0 μB/cell

Unit cell a=4.398 b=4.398 c=6.488 alpha=90.00 beta=90.00 gamma=90.00
Space group P4mm (No. 99)
Unique sites:
Ca 0.000 0.000 0.000 (multiplicity 1)
Ca 0.500 0.500 0.341 (multiplicity 1)
In 0.000 0.000 0.521 (multiplicity 1)
Sb 0.500 0.500 0.832 (multiplicity 1)



It is 2 that is most stable; the runner-up trails by 65 meV/atom.



--- 1 ---
## Ca3InSb (PBE-GGA)

Data for crystalline Ca3InSb at its relaxed geometry.

Computed properties:
* volume: 203.4 Å³/f.u.
* total magnetization: 0.0 μB/cell

Unit cell a=5.881 b=5.881 c=5.881 alpha=90.00 beta=90.00 gamma=90.00
Space group Pm-3m (No. 221)
Unique sites:
Ca 0.000 0.000 0.500 (multiplicity 3)
In 0.500 0.500 0.500 (multiplicity 1)
Sb 0.000 0.000 0.000 (multiplicity 1)



--- 2 ---
## Ca3InSb (PBE-GGA)

Data for crystalline Ca3InSb at its relaxed geometry.

Computed properties:
* volume: 165.5 Å³/f.u.
* total magnetization: 0.0 μB/cell

Unit cell a=16.404 b=4.366 c=9.281 alpha=90.00 beta=95.13 gamma=90.00
Space group C2/m (No. 12)
Unique sites:
Ca 0.047 0.000 0.168 (multiplicity 4)
Ca 0.102 0.500 0.590 (multiplicity 4)
Ca 0.239 0.000 0.824 (multiplicity 4)
In 0.199 0.000 0.419 (multiplicity 4)
Sb 0.108 0.500 0.928 (multiplicity 4)



It is 2 that is most stable; the runner-up trails by 272 meV/atom.



--- 1 ---
## CaSc3In (PBE-GGA)

Data for crystalline CaSc3In at its relaxed geometry.

Computed properties:
* volume: 139.2 Å³/f.u.
* total magnetization: 0.0 μB/cell

Unit cell a=5.182 b=5.182 c=5.182 alpha=90.00 beta=90.00 gamma=90.00
Space group Pm-3m (No. 221)
Unique sites:
Ca 0.000 0.000 0.000 (multiplicity 1)
Sc 0.000 0.000 0.500 (multiplicity 3)
In 0.500 0.500 0.500 (multiplicity 1)



--- 2 ---
## CaSc3In (PBE-GGA)

Data for crystalline CaSc3In at its relaxed geometry.

Computed properties:
* volume: 163.6 Å³/f.u.
* total magnetization: 0.0 μB/cell

Unit cell a=5.470 b=5.470 c=5.470 alpha=90.00 beta=90.00 gamma=90.00
Space group Pm-3m (No. 221)
Unique sites:
Ca 0.000 0.000 0.000 (multiplicity 1)
Sc 0.000 0.500 0.500 (multiplicity 3)
In 0.500 0.500 0.500 (multiplicity 1)



It is 2 that is most stable; the runner-up trails by 654 meV/atom.